Dy3Pu2UN6: optimized geometry, PBE.

Cell lengths 6.0149, 6.0149, 5.9977 Å; angles 99.64, 99.64, 119.98 degrees
Fractional positions:
Dy 0.0000 0.0000 0.0000
Dy 0.3317 0.6683 0.0000
Dy 0.6683 0.3317 0.0000
Pu 0.1664 0.8336 0.5000
Pu 0.8336 0.1664 0.5000
U 0.5000 0.5000 0.5000
N 0.1007 0.4199 0.2598
N 0.2602 0.2602 0.7378
N 0.4199 0.1007 0.2598
N 0.5801 0.8993 0.7402
N 0.7398 0.7398 0.2622
N 0.8993 0.5801 0.7402

- formation energy (no corrections) (meV per atom) = -1500
- magnetic moment (Bohr magnetons per cell) = 10.96
- DOS(E_F) (states/eV/cell) = 14.06